# MgCuRuC, optimized geometry, DFT PBE
# Theoretical density (g/cm³): 6.7
# E_tot (eV per atom): -5.76
# V (Å³/cell): 100
# Calculated formation energy (kJ/mol of atoms): 28.0
data_MgCuRuC
_cell_length_a 2.797
_cell_length_b 2.819
_cell_length_c 12.676
_cell_angle_alpha 90.00
_cell_angle_beta 90.00
_cell_angle_gamma 90.00
_symmetry_space_group_name_H-M 'A m m 2'
_symmetry_Int_Tables_number 38
loop_
_symmetry_equiv_pos_as_xyz
'x,y,z'
'-x,-y,z'
'-x,y,z'
'x,-y,z'
'x,y+1/2,z+1/2'
'-x,-y+1/2,z+1/2'
'-x,y+1/2,z+1/2'
'x,-y+1/2,z+1/2'
loop_
_atom_site_label
_atom_site_fract_x
_atom_site_fract_y
_atom_site_fract_z
_atom_site_occupancy
Mg1 0.000 0.000 0.000 1
Cu1 0.500 0.000 0.649 1
Ru1 0.000 0.000 0.299 1
C1 0.500 0.000 0.855 1